[1]
The following is a DFT calculation (PBE-GGA) of NiSbCl2 after structural relaxation.

Cell and atoms, written as CIF:
```
data_NiSbCl2
_symmetry_space_group_name_H-M 'I -4 2 d'
_symmetry_Int_Tables_number 122
_symmetry_space_group_name_Hall 'I -4 2bw'
_cell_length_a 6.444
_cell_length_b 6.444
_cell_length_c 9.408
_cell_angle_alpha 90.00
_cell_angle_beta 90.00
_cell_angle_gamma 90.00
loop_
_atom_site_label
_atom_site_fract_x
_atom_site_fract_y
_atom_site_fract_z
_atom_site_occupancy
Ni1 0.000 0.000 0.000 1
Sb1 0.000 0.000 0.500 1
Cl1 0.153 0.250 0.125 1
```

The excess energy over the best structure of this formula in the dataset is 209.6 kJ/mol of formula units. Its total DFT energy (no corrections) is -52.245 eV/cell.

[2]
The following is a DFT calculation (PBE-GGA) of Ni2SbCl after structural relaxation.

Cell and atoms, written as CIF:
```
data_Ni2SbCl
_symmetry_space_group_name_H-M 'P m m 2'
_symmetry_Int_Tables_number 25
_cell_length_a 3.342
_cell_length_b 3.912
_cell_length_c 5.844
_cell_angle_alpha 90.00
_cell_angle_beta 90.00
_cell_angle_gamma 90.00
loop_
_symmetry_equiv_pos_as_xyz
'x,y,z'
'-x,-y,z'
'-x,y,z'
'x,-y,z'
loop_
_atom_site_label
_atom_site_fract_x
_atom_site_fract_y
_atom_site_fract_z
_atom_site_occupancy
Ni1 0.000 0.000 0.000 1
Ni2 0.500 0.000 0.346 1
Sb1 0.000 0.500 0.263 1
Cl1 0.500 0.000 0.738 1
```

The excess energy over the best structure of this formula in the dataset is 0.0 kJ/mol of formula units. Its total DFT energy (no corrections) is -18.133 eV/cell.

[3]
The following is a DFT calculation (PBE-GGA) of Ni2SbCl after structural relaxation.

Cell and atoms, written as CIF:
```
data_Ni2SbCl
_symmetry_space_group_name_H-M 'P 4/m m m'
_symmetry_Int_Tables_number 123
_symmetry_space_group_name_Hall '-P 4 2'
_cell_length_a 3.274
_cell_length_b 3.274
_cell_length_c 6.337
_cell_angle_alpha 90.00
_cell_angle_beta 90.00
_cell_angle_gamma 90.00
loop_
_atom_site_label
_atom_site_fract_x
_atom_site_fract_y
_atom_site_fract_z
_atom_site_occupancy
Ni1 0.000 0.000 0.207 1
Sb1 0.500 0.500 0.000 1
Cl1 0.500 0.500 0.500 1
```

The excess energy over the best structure of this formula in the dataset is 123.6 kJ/mol of formula units. Its total DFT energy (no corrections) is -16.853 eV/cell.

[4]
The following is a DFT calculation (PBE-GGA) of NiSbCl2 after structural relaxation.

Cell and atoms, written as CIF:
```
data_NiSbCl2
_symmetry_space_group_name_H-M 'C m m m'
_symmetry_Int_Tables_number 65
_symmetry_space_group_name_Hall '-C 2 2'
_cell_length_a 3.115
_cell_length_b 6.252
_cell_length_c 10.101
_cell_angle_alpha 90.00
_cell_angle_beta 90.00
_cell_angle_gamma 90.00
loop_
_atom_site_label
_atom_site_fract_x
_atom_site_fract_y
_atom_site_fract_z
_atom_site_occupancy
Ni1 0.000 0.000 0.000 1
Sb1 0.000 0.000 0.500 1
Cl1 0.000 0.500 0.152 1
```

The excess energy over the best structure of this formula in the dataset is 109.1 kJ/mol of formula units. Its total DFT energy (no corrections) is -28.204 eV/cell.

[5]
The following is a DFT calculation (PBE-GGA) of NiSbCl2 after structural relaxation.

Cell and atoms, written as CIF:
```
data_NiSbCl2
_symmetry_space_group_name_H-M 'I -4 m 2'
_symmetry_Int_Tables_number 119
_symmetry_space_group_name_Hall 'I -4 -2'
_cell_length_a 4.770
_cell_length_b 4.770
_cell_length_c 6.798
_cell_angle_alpha 90.00
_cell_angle_beta 90.00
_cell_angle_gamma 90.00
loop_
_atom_site_label
_atom_site_fract_x
_atom_site_fract_y
_atom_site_fract_z
_atom_site_occupancy
Ni1 0.000 0.000 0.000 1
Sb1 0.000 0.500 0.750 1
Cl1 0.000 0.000 0.500 1
Cl2 0.000 0.500 0.250 1
```

The excess energy over the best structure of this formula in the dataset is 275.5 kJ/mol of formula units. Its total DFT energy (no corrections) is -24.756 eV/cell.

[6]
The following is a DFT calculation (PBE-GGA) of NiSbCl4 after structural relaxation.

Cell and atoms, written as CIF:
```
data_NiSbCl4
_symmetry_space_group_name_H-M 'F -4 3 m'
_symmetry_Int_Tables_number 216
_symmetry_space_group_name_Hall 'F -4 2 3'
_cell_length_a 8.160
_cell_length_b 8.160
_cell_length_c 8.160
_cell_angle_alpha 90.00
_cell_angle_beta 90.00
_cell_angle_gamma 90.00
loop_
_atom_site_label
_atom_site_fract_x
_atom_site_fract_y
_atom_site_fract_z
_atom_site_occupancy
Ni1 0.000 0.000 0.000 1
Sb1 0.250 0.250 0.750 1
Cl1 0.126 0.126 0.374 1
```

Its total DFT energy (no corrections) is -48.081 eV/cell.

[7]
The following is a DFT calculation (PBE-GGA) of NiSbCl after structural relaxation.

Cell and atoms, written as CIF:
```
data_NiSbCl
_symmetry_space_group_name_H-M 'F -4 3 m'
_symmetry_Int_Tables_number 216
_symmetry_space_group_name_Hall 'F -4 2 3'
_cell_length_a 6.558
_cell_length_b 6.558
_cell_length_c 6.558
_cell_angle_alpha 90.00
_cell_angle_beta 90.00
_cell_angle_gamma 90.00
loop_
_atom_site_label
_atom_site_fract_x
_atom_site_fract_y
_atom_site_fract_z
_atom_site_occupancy
Ni1 0.000 0.000 0.000 1
Sb1 0.250 0.250 0.250 1
Cl1 0.000 0.000 0.500 1
```

The excess energy over the best structure of this formula in the dataset is 225.8 kJ/mol of formula units. Its total DFT energy (no corrections) is -41.224 eV/cell.

[8]
The following is a DFT calculation (PBE-GGA) of Ni2SbCl after structural relaxation.

Cell and atoms, written as CIF:
```
data_Ni2SbCl
_symmetry_space_group_name_H-M 'I m m m'
_symmetry_Int_Tables_number 71
_symmetry_space_group_name_Hall '-I 2 2'
_cell_length_a 3.194
_cell_length_b 5.881
_cell_length_c 7.546
_cell_angle_alpha 90.00
_cell_angle_beta 90.00
_cell_angle_gamma 90.00
loop_
_atom_site_label
_atom_site_fract_x
_atom_site_fract_y
_atom_site_fract_z
_atom_site_occupancy
Ni1 0.000 0.000 0.246 1
Sb1 0.000 0.500 0.000 1
Cl1 0.000 0.500 0.500 1
```

The excess energy over the best structure of this formula in the dataset is 145.0 kJ/mol of formula units. Its total DFT energy (no corrections) is -33.261 eV/cell.

[9]
The following is a DFT calculation (PBE-GGA) of Ni2SbCl after structural relaxation.

Cell and atoms, written as CIF:
```
data_Ni2SbCl
_symmetry_space_group_name_H-M 'C 1 2/m 1'
_symmetry_Int_Tables_number 12
_cell_length_a 7.166
_cell_length_b 6.573
_cell_length_c 3.095
_cell_angle_alpha 90.00
_cell_angle_beta 110.11
_cell_angle_gamma 90.00
loop_
_symmetry_equiv_pos_as_xyz
'x,y,z'
'-x,-y,-z'
'-x,y,-z'
'x,-y,z'
'x+1/2,y+1/2,z'
'-x+1/2,-y+1/2,-z'
'-x+1/2,y+1/2,-z'
'x+1/2,-y+1/2,z'
loop_
_atom_site_label
_atom_site_fract_x
_atom_site_fract_y
_atom_site_fract_z
_atom_site_occupancy
Ni1 0.250 0.250 0.000 1
Sb1 0.000 0.000 0.500 1
Cl1 0.000 0.500 0.500 1
```

The excess energy over the best structure of this formula in the dataset is 169.0 kJ/mol of formula units. Its total DFT energy (no corrections) is -32.764 eV/cell.

[10]
The following is a DFT calculation (PBE-GGA) of NiSbCl2 after structural relaxation.

Cell and atoms, written as CIF:
```
data_NiSbCl2
_symmetry_space_group_name_H-M 'I m m 2'
_symmetry_Int_Tables_number 44
_cell_length_a 3.306
_cell_length_b 5.241
_cell_length_c 13.070
_cell_angle_alpha 90.00
_cell_angle_beta 90.00
_cell_angle_gamma 90.00
loop_
_symmetry_equiv_pos_as_xyz
'x,y,z'
'-x,-y,z'
'-x,y,z'
'x,-y,z'
'x+1/2,y+1/2,z+1/2'
'-x+1/2,-y+1/2,z+1/2'
'-x+1/2,y+1/2,z+1/2'
'x+1/2,-y+1/2,z+1/2'
loop_
_atom_site_label
_atom_site_fract_x
_atom_site_fract_y
_atom_site_fract_z
_atom_site_occupancy
Ni1 0.000 0.000 0.000 1
Sb1 0.000 0.500 0.654 1
Cl1 0.000 0.000 0.611 1
Cl2 0.000 0.500 0.388 1
```

The excess energy over the best structure of this formula in the dataset is 58.5 kJ/mol of formula units. Its total DFT energy (no corrections) is -29.253 eV/cell.

[11]
The following is a DFT calculation (PBE-GGA) of Ni2SbCl after structural relaxation.

Cell and atoms, written as CIF:
```
data_Ni2SbCl
_symmetry_space_group_name_H-M 'C m m m'
_symmetry_Int_Tables_number 65
_symmetry_space_group_name_Hall '-C 2 2'
_cell_length_a 3.541
_cell_length_b 5.510
_cell_length_c 7.087
_cell_angle_alpha 90.00
_cell_angle_beta 90.00
_cell_angle_gamma 90.00
loop_
_atom_site_label
_atom_site_fract_x
_atom_site_fract_y
_atom_site_fract_z
_atom_site_occupancy
Ni1 0.000 0.000 0.248 1
Sb1 0.000 0.500 0.000 1
Cl1 0.000 0.500 0.500 1
```

The excess energy over the best structure of this formula in the dataset is 120.5 kJ/mol of formula units. Its total DFT energy (no corrections) is -33.769 eV/cell.

[12]
The following is a DFT calculation (PBE-GGA) of NiSbCl after structural relaxation.

Cell and atoms, written as CIF:
```
data_NiSbCl
_symmetry_space_group_name_H-M 'P 3 m 1'
_symmetry_Int_Tables_number 156
_cell_length_a 3.4892
_cell_length_b 3.4892
_cell_length_c 6.8107
_cell_angle_alpha 90.00
_cell_angle_beta 90.00
_cell_angle_gamma 120.00
loop_
_symmetry_equiv_pos_as_xyz
'x,y,z'
'-y,x-y,z'
'-x+y,-x,z'
'-y,-x,z'
'-x+y,y,z'
'x,x-y,z'
loop_
_atom_site_label
_atom_site_fract_x
_atom_site_fract_y
_atom_site_fract_z
_atom_site_occupancy
Ni1 0.0000 0.0000 0.0000 1
Sb1 0.6667 0.3333 0.2302 1
Cl1 0.3333 0.6667 0.8064 1
```

The excess energy over the best structure of this formula in the dataset is 0.0 kJ/mol of formula units. Its total DFT energy (no corrections) is -12.646 eV/cell.

| no. | formation energy from raw total energies (eV/atom) | magnetization (μB/cell) |
| --- | --- | --- |
| 1 | 0.13 | 3.3 |
| 2 | -0.15 | 0.0 |
| 3 | 0.17 | 0.0 |
| 4 | -0.13 | 0.1 |
| 5 | 0.30 | 0.0 |
| 6 | 0.88 | 8.9 |
| 7 | 0.48 | 0.0 |
| 8 | 0.23 | 0.0 |
| 9 | 0.29 | 0.0 |
| 10 | -0.26 | 1.5 |
| 11 | 0.16 | 0.0 |
| 12 | -0.30 | 0.0 |